Compound: TmHfZr4
Source: Alexandria via LeMat-Bulk
Functional: PBE-GGA
Structure: relaxed

Summary:
The density of states at the Fermi level comes out at 14.052 states/eV per cell. The value obtained for the volume is 576 Å³ per cell. The calculated total energy comes out at -8.0902 eV/atom.

Unit cell a=9.840 b=5.160 c=11.347 alpha=90.00 beta=90.00 gamma=90.00
Fractional positions:
Hf: 0.915 0.250 0.463
Hf: 0.585 0.250 0.963
Hf: 0.415 0.750 0.037
Hf: 0.085 0.750 0.537
Zr: 0.250 0.250 0.957
Zr: 0.586 0.250 0.460
Zr: 0.250 0.250 0.457
Zr: 0.753 0.250 0.207
Zr: 0.750 0.750 0.043
Zr: 0.750 0.750 0.543
Zr: 0.253 0.750 0.293
Zr: 0.086 0.750 0.040
Zr: 0.085 0.250 0.702
Zr: 0.414 0.750 0.540
Zr: 0.915 0.750 0.298
Zr: 0.914 0.250 0.960
Zr: 0.415 0.250 0.202
Zr: 0.747 0.250 0.707
Zr: 0.247 0.750 0.793
Zr: 0.585 0.750 0.798
Tm: 0.918 0.750 0.790
Tm: 0.582 0.750 0.290
Tm: 0.418 0.250 0.710
Tm: 0.082 0.250 0.210

Compound: Tm2Hf2Zr15
Source: Alexandria via LeMat-Bulk
Functional: PBE-GGA
Structure: relaxed

Summary:
The density of states at the Fermi level comes out at 41.011 states/eV per cell. The value obtained for the volume is 467 Å³ per cell. The calculated total energy comes out at -8.0161 eV/atom.

Unit cell a=7.880 b=7.880 c=7.880 alpha=79.49 beta=79.49 gamma=79.49
Fractional positions:
Tm: 0.683 0.683 0.683
Tm: 0.317 0.317 0.317
Zr: 0.844 0.371 0.371
Zr: 0.706 0.000 0.294
Zr: 0.371 0.844 0.371
Zr: 0.294 0.000 0.706
Zr: 0.000 0.706 0.294
Zr: 0.294 0.706 0.000
Zr: 0.000 0.000 0.500
Zr: 0.500 0.000 0.000
Zr: 0.371 0.371 0.844
Zr: 0.156 0.629 0.629
Zr: 0.000 0.500 0.000
Zr: 0.629 0.156 0.629
Zr: 0.706 0.294 0.000
Zr: 0.629 0.629 0.156
Zr: 0.000 0.294 0.706
Hf: 0.906 0.906 0.906
Hf: 0.094 0.094 0.094